Record 1
The following is a DFT calculation (PBE) of a relaxed Cs2MnHg2Br4 crystal.

calculated volume = 329 Å³ per cell
total magnetization = 0.556 μB per atom

abc: 7.5476 7.5476 7.5476
angles: 104.46 112.03 112.03
Each line ends with the local moment (μB).
Fractional coordinates of all 9 atoms:
Br1 0.0000 0.2194 0.7806  0.04
Br2 0.5612 0.7806 0.7806  0.04
Br3 0.4388 0.2194 0.2194  0.04
Br4 0.0000 0.7806 0.2194  0.04
Mn1 0.0000 0.0000 0.0000  4.33
Cs1 0.5000 0.7500 0.2500  0.00
Cs2 0.5000 0.2500 0.7500  0.00
Hg1 0.0000 0.6769 0.6769  0.03
Hg2 0.0000 0.3231 0.3231  0.03

***

Record 2
The following is a DFT calculation (PBE) of a relaxed Cs2NaHgBr4 crystal.

D(E_F) = 0.60 states/eV per atom
calculated volume = 678 Å³ per cell
total magnetization = 0.083 μB per atom

abc: 6.4732 8.5977 13.5380
angles: 84.84 76.17 67.89
Each line ends with the local moment (μB).
Fractional coordinates of all 16 atoms:
Br1 0.4670 0.7360 0.3833  0.07
Br2 0.7970 0.7360 0.6167  0.07
Br3 0.1496 0.2640 0.3833  0.07
Br4 0.6004 0.2360 0.1167  0.07
Br5 0.5863 0.2640 0.6167  0.07
Br6 0.9530 0.7640 0.8833  0.07
Br7 0.2830 0.7640 0.1167  0.07
Br8 0.1637 0.2360 0.8833  0.07
Cs1 0.1788 0.0000 0.6423  0.00
Cs2 0.5712 0.5000 0.8577  0.00
Cs3 0.9288 0.5000 0.1423  0.00
Cs4 0.8212 0.0000 0.3577  0.00
Na1 0.0000 0.0000 0.0000  0.00
Na2 0.7500 0.5000 0.5000  0.00
Hg1 0.2500 0.5000 0.5000  0.20
Hg2 0.5000 0.0000 0.0000  0.20

***

Record 3
The following is a DFT calculation (PBE) of a relaxed Cs2NaHg2Br6 crystal.

D(E_F) = 0.39 states/eV per atom
calculated volume = 456 Å³ per cell
total magnetization = 0.000 μB per atom

abc: 8.2153 8.0668 9.1550
angles: 114.80 90.00 120.61
Fractional coordinates of all 11 atoms:
Cs1 0.7162 0.4325 0.1998
Cs2 0.2838 0.5675 0.8002
Br1 0.2171 0.8845 0.2065
Br2 0.6674 0.8845 0.2065
Br3 0.2569 0.5138 0.3867
Br4 0.3326 0.1155 0.7935
Br5 0.7829 0.1155 0.7935
Br6 0.7431 0.4862 0.6133
Na1 0.5000 0.0000 0.5000
Hg1 0.0397 0.0794 0.1744
Hg2 0.9603 0.9206 0.8256

***

Record 4
The following is a DFT calculation (PBE) of a relaxed Cs2NaHg2Br7 crystal.

D(E_F) = 0.26 states/eV per atom
calculated volume = 457 Å³ per cell
total magnetization = 0.000 μB per atom

abc: 5.6718 5.6718 14.7678
angles: 78.88 78.88 90.00
Fractional coordinates of all 12 atoms:
Cs1 0.1734 0.1734 0.6515
Cs2 0.8266 0.8266 0.3485
Br1 0.9139 0.4151 0.1731
Br2 0.6964 0.6964 0.6084
Br3 0.4151 0.9139 0.1731
Br4 0.0861 0.5849 0.8269
Br5 0.5849 0.0861 0.8269
Br6 0.3036 0.3036 0.3916
Br7 0.5000 0.5000 0.0000
Na1 0.0000 0.0000 0.0000
Hg1 0.4010 0.4010 0.1987
Hg2 0.5990 0.5990 0.8013

***

Record 5
The following is a DFT calculation (PBE) of a relaxed Cs2NbHgBr6 crystal.

ΔE to the lowest computed polymorph = 0 kJ/mol of formula units
D(E_F) = 0.68 states/eV per atom
calculated volume = 977 Å³ per cell
total magnetization = 0.100 μB per atom

abc: 7.7271 7.7271 19.4072
angles: 78.52 78.52 60.00
Each line ends with the local moment (μB).
Fractional coordinates of all 20 atoms:
Br1 0.8436 0.3684 0.4197  0.00
Br2 0.1850 0.1850 0.9199  0.00
Br3 0.6316 0.1564 0.5803  0.00
Br4 0.7100 0.1850 0.9199  0.00
Br5 0.6316 0.6316 0.5803  0.00
Br6 0.3684 0.8436 0.4197  0.00
Br7 0.3684 0.3684 0.4197  0.00
Br8 0.1850 0.7100 0.9199  0.00
Br9 0.2900 0.8150 0.0801  0.00
Br10 0.1564 0.6316 0.5803  0.00
Br11 0.8150 0.8150 0.0801  0.00
Br12 0.8150 0.2900 0.0801  0.00
Hg1 0.4157 0.4157 0.7528  0.00
Hg2 0.5843 0.5843 0.2472  0.00
Cs1 0.6924 0.6924 0.9228  0.00
Cs2 0.1409 0.1409 0.5773  0.00
Cs3 0.8591 0.8591 0.4227  0.00
Cs4 0.3076 0.3076 0.0772  0.00
Nb1 0.5000 0.5000 0.5000  0.88
Nb2 0.0000 0.0000 0.0000  0.86

***

Record 6
The following is a DFT calculation (PBE) of a relaxed Cs2NbHgBr6 crystal.

ΔE to the lowest computed polymorph = 27 kJ/mol of formula units
D(E_F) = 1.68 states/eV per atom
calculated volume = 427 Å³ per cell
total magnetization = 0.100 μB per atom

abc: 8.4502 8.4502 8.4501
angles: 60.00 60.00 90.00
Each line ends with the local moment (μB).
Fractional coordinates of all 10 atoms:
Hg1 0.0000 0.0000 0.0000  0.00
Br1 0.2824 0.2824 0.0000  -0.01
Br2 0.7177 0.7177 0.5647  0.00
Br3 0.7176 0.7176 0.0000  -0.01
Br4 0.2823 0.2823 0.4353  0.00
Br5 0.2824 0.7176 0.0000  -0.01
Br6 0.7176 0.2824 0.0000  -0.01
Nb1 0.5000 0.5000 0.0000  0.87
Cs1 0.7500 0.2500 0.5000  0.00
Cs2 0.2500 0.7500 0.5000  0.00

***

Record 7
The following is a DFT calculation (PBE) of a relaxed Cs2NdHgBr6 crystal.

D(E_F) = 0.42 states/eV per atom
calculated volume = 845 Å³ per cell
total magnetization = 0.000 μB per atom

abc: 8.4336 8.4317 11.8871
angles: 90.00 90.00 90.00
Fractional coordinates of all 20 atoms:
Br1 0.0000 0.7492 0.7428
Br2 0.2421 0.9911 0.5000
Br3 0.5000 0.2508 0.7572
Br4 0.0000 0.7492 0.2572
Br5 0.7582 0.5071 0.5000
Br6 0.7579 0.9911 0.5000
Br7 0.2579 0.0089 0.0000
Br8 0.7418 0.4929 0.0000
Br9 0.5000 0.2508 0.2428
Br10 0.7421 0.0089 0.0000
Br11 0.2418 0.5071 0.5000
Br12 0.2582 0.4929 0.0000
Cs1 0.0000 0.2491 0.7500
Cs2 0.5000 0.7509 0.2500
Cs3 0.5000 0.7509 0.7500
Cs4 0.0000 0.2491 0.2500
Nd1 0.5000 0.2509 0.0000
Nd2 0.0000 0.7491 0.5000
Hg1 0.5000 0.2495 0.5000
Hg2 0.0000 0.7505 0.0000

***

Record 8
The following is a DFT calculation (PBE) of a relaxed CsNdHg2Br8 crystal.

D(E_F) = 0.00 states/eV per atom
calculated volume = 536 Å³ per cell
total magnetization = 0.000 μB per atom

abc: 6.9146 8.1690 10.5733
angles: 65.07 84.24 92.59
Fractional coordinates of all 12 atoms:
Br1 0.7029 0.6867 0.0829
Br2 0.7497 0.1255 0.1677
Br3 0.5348 0.7101 0.5489
Br4 0.2503 0.8745 0.8323
Br5 0.8394 0.2127 0.7414
Br6 0.4652 0.2899 0.4511
Br7 0.2971 0.3133 0.9171
Br8 0.1606 0.7873 0.2586
Hg1 0.5610 0.7420 0.2973
Hg2 0.4390 0.2580 0.7027
Nd1 0.0000 0.0000 0.0000
Cs1 0.0000 0.0000 0.5000

***

Record 9
The following is a DFT calculation (PBE) of a relaxed CsNiHgBr6 crystal.

calculated volume = 345 Å³ per cell
total magnetization = 0.100 μB per atom

abc: 7.3444 6.8867 8.0920
angles: 88.19 86.51 57.70
Each line ends with the local moment (μB).
Fractional coordinates of all 9 atoms:
Hg1 0.6810 0.6371 0.4996  -0.01
Br1 0.3488 0.6159 0.3245  0.00
Br2 0.6105 0.0404 0.3228  -0.01
Br3 0.0343 0.6166 0.6752  0.00
Br4 0.5993 0.3589 0.6968  0.10
Br5 0.0423 0.3574 0.3034  0.10
Br6 0.3495 0.0414 0.6778  -0.01
Ni1 0.3321 0.3360 0.5001  0.64
Cs1 0.0019 0.9963 0.9997  0.00

***

Record 10
The following is a DFT calculation (PBE) of a relaxed Cs2NiHgBr6 crystal.

calculated volume = 702 Å³ per cell
total magnetization = 0.014 μB per atom

abc: 7.9409 7.9421 11.1291
angles: 90.00 90.00 90.00
Each line ends with the local moment (μB).
Fractional coordinates of all 20 atoms:
Br1 0.2114 0.9611 0.0000  0.00
Br2 0.7114 0.4616 0.5000  0.00
Br3 0.5000 0.2496 0.2278  0.00
Br4 0.7886 0.9611 0.0000  0.00
Br5 0.2114 0.5384 0.0000  0.00
Br6 0.7114 0.0389 0.5000  0.00
Br7 0.2886 0.0389 0.5000  0.00
Br8 0.5000 0.2496 0.7722  0.00
Br9 0.7886 0.5384 0.0000  0.00
Br10 0.0000 0.7504 0.7278  0.00
Br11 0.2886 0.4616 0.5000  0.00
Br12 0.0000 0.7504 0.2722  0.00
Hg1 0.0000 0.7506 0.5000  -0.01
Hg2 0.5000 0.2494 0.0000  -0.01
Cs1 0.5000 0.7497 0.2500  0.00
Cs2 0.0000 0.2503 0.2500  0.00
Cs3 0.5000 0.7497 0.7500  0.00
Cs4 0.0000 0.2503 0.7500  0.00
Ni1 0.5000 0.2502 0.5000  0.16
Ni2 0.0000 0.7498 0.0000  0.16

***

Record 11
The following is a DFT calculation (PBE) of a relaxed Cs2NpHgBr6 crystal.

D(E_F) = 0.50 states/eV per atom
calculated volume = 1018 Å³ per cell
total magnetization = 0.300 μB per atom

abc: 7.9701 10.6291 12.0190
angles: 90.00 90.00 90.00
Each line ends with the local moment (μB).
Fractional coordinates of all 20 atoms:
Br1 0.2474 0.3498 0.5000  -0.04
Br2 0.7526 0.3498 0.5000  -0.04
Br3 0.2412 0.0185 0.0000  -0.04
Br4 0.0000 0.8294 0.7684  -0.03
Br5 0.2526 0.6502 0.0000  -0.04
Br6 0.7412 0.9815 0.5000  -0.04
Br7 0.7588 0.0185 0.0000  -0.04
Br8 0.5000 0.1706 0.2684  -0.03
Br9 0.2588 0.9815 0.5000  -0.04
Br10 0.5000 0.1706 0.7316  -0.03
Br11 0.7474 0.6502 0.0000  -0.04
Br12 0.0000 0.8294 0.2316  -0.03
Cs1 0.5000 0.8257 0.2254  0.00
Cs2 0.0000 0.1743 0.2746  0.00
Cs3 0.0000 0.1743 0.7254  0.00
Cs4 0.5000 0.8257 0.7746  0.00
Np1 0.0000 0.8283 0.0000  3.22
Np2 0.5000 0.1717 0.5000  3.22
Hg1 0.0000 0.6517 0.5000  -0.01
Hg2 0.5000 0.3483 0.0000  -0.01

***

Record 12
The following is a DFT calculation (PBE) of a relaxed Cs2NpHg2Br4 crystal.

D(E_F) = 1.07 states/eV per atom
calculated volume = 368 Å³ per cell
total magnetization = 0.537 μB per atom

abc: 7.8264 7.8264 7.8264
angles: 105.74 111.37 111.37
Each line ends with the local moment (μB).
Fractional coordinates of all 9 atoms:
Cs1 0.5000 0.2500 0.7500  0.00
Cs2 0.5000 0.7500 0.2500  0.00
Hg1 0.0000 0.3415 0.3415  0.04
Hg2 0.0000 0.6585 0.6585  0.04
Br1 0.5372 0.7686 0.7686  -0.02
Br2 0.4628 0.2314 0.2314  -0.02
Br3 0.0000 0.7686 0.2314  -0.02
Br4 0.0000 0.2314 0.7686  -0.02
Np1 0.0000 0.0000 0.0000  4.32

***

Record 13
The following is a DFT calculation (PBE) of a relaxed Cs2NpHg3Br6 crystal.

D(E_F) = 0.42 states/eV per atom
calculated volume = 574 Å³ per cell
total magnetization = 0.250 μB per atom

abc: 8.8179 8.8179 8.6297
angles: 95.45 95.45 119.46
Each line ends with the local moment (μB).
Fractional coordinates of all 12 atoms:
Cs1 0.6651 0.3349 0.0000  0.00
Cs2 0.3349 0.6651 0.0000  0.00
Hg1 0.5000 0.5000 0.5000  -0.01
Hg2 0.2616 0.7384 0.5000  -0.01
Hg3 0.7384 0.2616 0.5000  -0.01
Br1 0.0354 0.2955 0.1857  -0.03
Br2 0.7798 0.7798 0.1908  -0.04
Br3 0.9646 0.7045 0.8143  -0.03
Br4 0.7045 0.9646 0.8143  -0.03
Br5 0.2202 0.2202 0.8092  -0.04
Br6 0.2955 0.0354 0.1857  -0.03
Np1 0.0000 0.0000 0.0000  3.22

***

Record 14
The following is a DFT calculation (PBE) of a relaxed Cs6Hg2BrO crystal.

D(E_F) = 0.78 states/eV per atom
calculated volume = 1162 Å³ per cell
total magnetization = 0.010 μB per atom

abc: 8.9955 8.9955 17.3820
angles: 75.00 75.00 60.00
Fractional coordinates of all 20 atoms:
Cs1 0.1598 0.6187 0.6028
Cs2 0.2710 0.8126 0.1038
Cs3 0.8126 0.8126 0.1038
Cs4 0.1874 0.1874 0.8962
Cs5 0.6187 0.6187 0.6028
Cs6 0.3813 0.3813 0.3972
Cs7 0.8126 0.2710 0.1038
Cs8 0.6187 0.1598 0.6028
Cs9 0.1874 0.7290 0.8962
Cs10 0.8402 0.3813 0.3972
Cs11 0.7290 0.1874 0.8962
Cs12 0.3813 0.8402 0.3972
Br1 0.5871 0.5871 0.2387
Br2 0.4129 0.4129 0.7613
Hg1 0.1371 0.1371 0.5886
Hg2 0.3064 0.3064 0.0808
Hg3 0.8629 0.8629 0.4114
Hg4 0.6936 0.6936 0.9192
O1 0.5000 0.5000 0.5000
O2 0.0000 0.0000 0.0000

***

Record 15
The following is a DFT calculation (PBE) of a relaxed Cs2HgBrO crystal.

D(E_F) = 0.23 states/eV per atom
calculated volume = 181 Å³ per cell
total magnetization = 0.000 μB per atom

abc: 6.2746 6.2746 4.5871
angles: 90.00 90.00 90.00
Fractional coordinates of all 5 atoms:
Cs1 0.0000 0.5000 0.0000
Cs2 0.5000 0.0000 0.0000
Hg1 0.0000 0.0000 0.5000
O1 0.0000 0.0000 0.0000
Br1 0.5000 0.5000 0.5000

***

Record 16
The following is a DFT calculation (PBE) of a relaxed Cs2HgPBr6 crystal.

D(E_F) = 0.27 states/eV per atom
calculated volume = 351 Å³ per cell
total magnetization = 0.000 μB per atom

abc: 8.0063 8.0063 7.8752
angles: 59.45 59.45 90.00
Fractional coordinates of all 10 atoms:
Cs1 0.7500 0.2500 0.5000
Cs2 0.2500 0.7500 0.5000
Br1 0.2711 0.7289 0.0000
Br2 0.2711 0.2711 0.0000
Br3 0.7289 0.7289 0.0000
Br4 0.7289 0.2711 0.0000
Br5 0.7383 0.7383 0.5234
Br6 0.2617 0.2617 0.4766
P1 0.5000 0.5000 0.0000
Hg1 0.0000 0.0000 0.0000

***

Record 17
The following is a DFT calculation (PBE) of a relaxed CsPaHg2Br6 crystal.

calculated volume = 935 Å³ per cell
total magnetization = 0.000 μB per atom

abc: 8.1392 9.5338 12.3027
angles: 90.00 78.22 90.00
Fractional coordinates of all 20 atoms:
Br1 0.7112 0.3637 0.9857
Br2 0.8615 0.7474 0.9540
Br3 0.1215 0.4578 0.7792
Br4 0.2112 0.1363 0.4857
Br5 0.8785 0.5422 0.2208
Br6 0.6385 0.2474 0.5460
Br7 0.1385 0.2526 0.0460
Br8 0.3785 0.9578 0.7208
Br9 0.6215 0.0422 0.2792
Br10 0.7888 0.8637 0.5143
Br11 0.2888 0.6363 0.0143
Br12 0.3615 0.7526 0.4540
Cs1 0.5000 0.0000 0.0000
Cs2 0.0000 0.5000 0.5000
Hg1 0.4138 0.4241 0.2630
Hg2 0.9138 0.0759 0.7630
Hg3 0.5862 0.5759 0.7370
Hg4 0.0862 0.9241 0.2370
Pa1 0.0000 0.5000 0.0000
Pa2 0.5000 0.0000 0.5000

***

Record 18
The following is a DFT calculation (PBE) of a relaxed CsPaHgBr6 crystal.

calculated volume = 902 Å³ per cell
total magnetization = 0.000 μB per atom

abc: 8.9907 8.9907 12.8849
angles: 90.00 90.00 120.00
Fractional coordinates of all 18 atoms:
Br1 0.5792 0.9161 0.8720
Br2 0.3368 0.4208 0.8720
Br3 0.9161 0.5792 0.3720
Br4 0.4208 0.3368 0.3720
Br5 0.0839 0.6632 0.8720
Br6 0.9161 0.3368 0.1280
Br7 0.5792 0.6632 0.6280
Br8 0.0839 0.4208 0.6280
Br9 0.6632 0.0839 0.3720
Br10 0.3368 0.9161 0.6280
Br11 0.6632 0.5792 0.1280
Br12 0.4208 0.0839 0.1280
Hg1 0.0000 0.0000 0.5000
Hg2 0.0000 0.0000 0.0000
Pa1 0.6667 0.3333 0.2500
Pa2 0.3333 0.6667 0.7500
Cs1 0.6667 0.3333 0.7500
Cs2 0.3333 0.6667 0.2500

***

Record 19
The following is a DFT calculation (PBE) of a relaxed Cs3Hg2PbBr9 crystal.

D(E_F) = 0.03 states/eV per atom
calculated volume = 576 Å³ per cell
total magnetization = 0.000 μB per atom

abc: 8.1559 8.1559 10.0027
angles: 90.00 90.00 120.00
Fractional coordinates of all 15 atoms:
Cs1 0.0000 0.0000 0.0000
Cs2 0.6667 0.3333 0.3277
Cs3 0.3333 0.6667 0.6723
Hg1 0.6667 0.3333 0.8409
Hg2 0.3333 0.6667 0.1591
Br1 0.5000 0.0000 0.0000
Br2 0.5000 0.5000 0.0000
Br3 0.1709 0.3417 0.3268
Br4 0.8291 0.1709 0.6732
Br5 0.6583 0.8291 0.3268
Br6 0.1709 0.8291 0.3268
Br7 0.0000 0.5000 0.0000
Br8 0.8291 0.6583 0.6732
Br9 0.3417 0.1709 0.6732
Pb1 0.0000 0.0000 0.5000

***

| no. | formation energy without anion corrections (eV per atom) |
| --- | --- |
| 1 | -1.04 |
| 2 | -1.24 |
| 3 | -1.08 |
| 4 | -1.01 |
| 5 | -1.16 |
| 6 | -1.13 |
| 7 | -1.49 |
| 8 | -1.14 |
| 9 | -0.63 |
| 10 | -0.95 |
| 11 | -1.38 |
| 12 | -1.08 |
| 13 | -1.12 |
| 14 | -0.69 |
| 15 | -1.10 |
| 16 | -0.90 |
| 17 | -1.23 |
| 18 | -1.39 |
| 19 | -1.09 |